1.
A geometry-optimized La2Pm5Tm2 structure. Source: Alexandria, functional PBE.

Cell lengths 12.0183, 6.8588, 10.2173 Å; angles 109.61, 126.02, 90.00 degrees
Fractional coordinates of all 18 atoms:
La (0.1293, 0.6876, 0.2516)
La (0.8707, 0.4360, 0.7484)
La (0.6223, 0.1876, 0.2516)
La (0.3777, 0.9360, 0.7484)
Pm (0.1976, 0.6546, 0.8936)
Pm (0.8024, 0.7609, 0.1064)
Pm (0.1960, 0.1546, 0.8936)
Pm (0.8040, 0.2609, 0.1064)
Pm (0.3768, 0.0219, 0.2863)
Pm (0.6232, 0.7356, 0.7137)
Pm (0.4095, 0.5219, 0.2863)
Pm (0.5905, 0.2356, 0.7137)
Pm (0.0097, 0.6618, 0.5000)
Pm (0.9903, 0.1618, 0.5000)
Tm (0.0000, 0.0288, 0.0000)
Tm (0.5000, 0.5288, 0.0000)
Tm (0.2580, 0.3488, 0.5000)
Tm (0.7420, 0.8488, 0.5000)

Results
density of states at the Fermi level	1.537	states/eV/atom
space group	Ima2, No. 46
V	310	Å³/f.u.
energy above the most stable polymorph in this dataset	0.00	eV per formula unit
crystal system	orthorhombic
ΔE_f	0.20	eV per atom

---

2.
A geometry-optimized RbTl3Rh structure. Source: Alexandria, functional PBE.

Cell lengths 15.9978, 9.5100, 9.5100 Å; angles 112.81, 138.42, 41.58 degrees
Fractional coordinates of all 20 atoms:
Tl (0.4168, 0.2440, 0.4278)
Tl (0.0832, 0.9278, 0.7440)
Tl (0.5832, 0.7560, 0.5722)
Tl (0.9168, 0.0722, 0.2560)
Tl (0.0983, 0.2544, 0.0912)
Tl (0.4017, 0.5912, 0.7544)
Tl (0.9017, 0.7456, 0.9088)
Tl (0.5983, 0.4088, 0.2456)
Tl (0.5793, 0.0824, 0.9118)
Tl (0.9207, 0.4118, 0.5824)
Tl (0.4207, 0.9176, 0.0882)
Tl (0.0793, 0.5882, 0.4176)
Rh (0.2870, 0.1301, 0.5401)
Rh (0.2130, 0.0401, 0.6301)
Rh (0.7130, 0.8699, 0.4599)
Rh (0.7870, 0.9599, 0.3699)
Rb (0.7500, 0.2297, 0.7297)
Rb (0.2500, 0.7703, 0.2703)
Rb (0.7500, 0.5911, 0.0911)
Rb (0.2500, 0.4089, 0.9089)

Results
density of states at the Fermi level	0.805	states/eV/atom
space group	C2/c, No. 15
V	147	Å³/f.u.
energy above the most stable polymorph in this dataset	0.78	eV per formula unit
crystal system	monoclinic
ΔE_f	0.09	eV per atom

---

Q: What is the density of states at the Fermi level in the second record?
A: 0.805 states/eV/atom

---

Repeat the first record exactly.
A geometry-optimized La2Pm5Tm2 structure. Source: Alexandria, functional PBE.

Cell lengths 12.0183, 6.8588, 10.2173 Å; angles 109.61, 126.02, 90.00 degrees
Fractional coordinates of all 18 atoms:
La (0.1293, 0.6876, 0.2516)
La (0.8707, 0.4360, 0.7484)
La (0.6223, 0.1876, 0.2516)
La (0.3777, 0.9360, 0.7484)
Pm (0.1976, 0.6546, 0.8936)
Pm (0.8024, 0.7609, 0.1064)
Pm (0.1960, 0.1546, 0.8936)
Pm (0.8040, 0.2609, 0.1064)
Pm (0.3768, 0.0219, 0.2863)
Pm (0.6232, 0.7356, 0.7137)
Pm (0.4095, 0.5219, 0.2863)
Pm (0.5905, 0.2356, 0.7137)
Pm (0.0097, 0.6618, 0.5000)
Pm (0.9903, 0.1618, 0.5000)
Tm (0.0000, 0.0288, 0.0000)
Tm (0.5000, 0.5288, 0.0000)
Tm (0.2580, 0.3488, 0.5000)
Tm (0.7420, 0.8488, 0.5000)

Results
density of states at the Fermi level	1.537	states/eV/atom
space group	Ima2, No. 46
V	310	Å³/f.u.
energy above the most stable polymorph in this dataset	0.00	eV per formula unit
crystal system	orthorhombic
ΔE_f	0.20	eV per atom